## i
Density functional theory data (PBE) for an optimized crystal structure of KRb2AsPd.

Calculated values
Size of the total moment, μB/f.u.: 0.34

abc: 6.6530 6.6530 4.7819
angles: 90.00 90.00 90.00
With the nearest neighbours (Å) after each atom.
Element x y z (fractional)
K 0.0000 0.0000 0.0000  8 Rb 4.10
Rb 0.0000 0.5000 0.5000  2 Pd 3.33
Rb 0.5000 0.0000 0.5000  2 Pd 3.33
As 0.5000 0.5000 0.0000  2 Pd 2.39
Pd 0.5000 0.5000 0.5000  2 As 2.39

---

## ii
Density functional theory data (PBE) for an optimized crystal structure of KRb2AsPd.

Calculated values
Size of the total moment, μB/f.u.: 0.00

abc: 6.8892 6.8892 4.7203
angles: 90.00 90.00 90.00
With the nearest neighbours (Å) after each atom.
Element x y z (fractional)
K 0.0000 0.0000 0.0000  8 Rb 4.18
Rb 0.0000 0.5000 0.5000  2 As 3.44
Rb 0.5000 0.0000 0.5000  2 As 3.44
As 0.5000 0.5000 0.5000  2 Pd 2.36
Pd 0.5000 0.5000 0.0000  2 As 2.36

---

i ends up most stable, edging out the next structure by 18 meV/atom.

---

## i
Density functional theory data (PBE) for an optimized crystal structure of KSbAsPd2.

Calculated values
Size of the total moment, μB/f.u.: 0.00

abc: 5.5069 4.5912 10.1110
angles: 90.00 98.99 90.00
With the nearest neighbours (Å) after each atom.
Element x y z (fractional)
K 0.2205 0.2500 0.4150  2 As 3.20-3.23, 3 Pd 3.42-3.53
K 0.7795 0.7500 0.5850  2 As 3.20-3.23, 3 Pd 3.42-3.53
Sb 0.1407 0.7500 0.0980  4 Pd 2.63-2.93
Sb 0.8593 0.2500 0.9020  4 Pd 2.63-2.93
As 0.3299 0.7500 0.7515  3 Pd 2.39-2.48
As 0.6701 0.2500 0.2485  3 Pd 2.39-2.48
Pd 0.2086 0.2500 0.7517  2 As 2.39, 1 Sb 2.63
Pd 0.3702 0.2500 0.0376  1 As 2.48, 2 Sb 2.74
Pd 0.6298 0.7500 0.9624  1 As 2.48, 2 Sb 2.74
Pd 0.7914 0.7500 0.2483  2 As 2.39, 1 Sb 2.63

---

## ii
Density functional theory data (PBE) for an optimized crystal structure of KSbAsPd2.

Calculated values
Size of the total moment, μB/f.u.: 0.00

abc: 5.1001 5.1001 5.3961
angles: 90.00 90.00 90.00
With the nearest neighbours (Å) after each atom.
Element x y z (fractional)
K 0.0000 0.0000 0.0000  4 As 3.61, 8 Pd 3.71
Sb 0.5000 0.5000 0.5000  4 Pd 2.55, 2 As 2.70
As 0.5000 0.5000 0.0000  2 Sb 2.70
Pd 0.0000 0.5000 0.5000  2 Sb 2.55
Pd 0.5000 0.0000 0.5000  2 Sb 2.55

---

i ends up most stable, edging out the next structure by 368 meV/atom.

---

## i
Density functional theory data (PBE) for an optimized crystal structure of KAs2PdSe.

Calculated values
Size of the total moment, μB/f.u.: 0.51

abc: 4.8801 4.8801 5.5023
angles: 90.00 90.00 90.00
With the nearest neighbours (Å) after each atom.
Element x y z (fractional)
K 0.0000 0.0000 0.0000  4 Se 3.45, 8 As 3.68
As 0.0000 0.5000 0.5000  2 Pd 2.44
As 0.5000 0.0000 0.5000  2 Pd 2.44
Pd 0.5000 0.5000 0.5000  4 As 2.44
Se 0.5000 0.5000 0.0000  2 Pd 2.75

---

## ii
Density functional theory data (PBE) for an optimized crystal structure of KAs2PdSe.

Calculated values
Size of the total moment, μB/f.u.: 0.76

abc: 5.4113 5.4113 5.4584
angles: 90.00 90.00 90.00
With the nearest neighbours (Å) after each atom.
Element x y z (fractional)
K 0.0000 0.0000 0.0000  4 As 2.71, 2 Se 2.73
As 0.0000 0.5000 0.0000  2 K 2.71
As 0.5000 0.0000 0.0000  2 K 2.71
Pd 0.5000 0.5000 0.5000  4 Se 3.83, 8 As 3.84
Se 0.0000 0.0000 0.5000  2 K 2.73

---

i ends up most stable, edging out the next structure by 1608 meV/atom.

---

## i
Density functional theory data (PBE) for an optimized crystal structure of KPmAs2.

Calculated values
Size of the total moment, μB/f.u.: 0.00

abc: 5.2837 5.2837 5.2837
angles: 60.00 60.00 60.00
With the nearest neighbours (Å) after each atom.
Element x y z (fractional)
K 0.0000 0.0000 0.0000  8 As 3.24
Pm 0.5000 0.5000 0.5000  8 As 3.24
As 0.2500 0.2500 0.2500  4 Pm 3.24, 4 K 3.24
As 0.7500 0.7500 0.7500  4 Pm 3.24, 4 K 3.24

---

## ii
Density functional theory data (PBE) for an optimized crystal structure of KPmAs2.

Calculated values
Size of the total moment, μB/f.u.: 0.00

abc: 4.0010 4.0010 7.1812
angles: 90.00 90.00 90.00
With the nearest neighbours (Å) after each atom.
Element x y z (fractional)
K 0.0000 0.0000 0.0000  2 Pm 3.59, 8 As 3.66, 4 K 4.00
Pm 0.0000 0.0000 0.5000  8 As 3.10
As 0.5000 0.5000 0.3233  1 As 2.54
As 0.5000 0.5000 0.6767  1 As 2.54

---

## iii
Density functional theory data (PBE) for an optimized crystal structure of KPmAs2.

Calculated values
Size of the total moment, μB/f.u.: 0.00

abc: 8.1526 8.1526 8.1526
angles: 31.11 31.11 31.11
With the nearest neighbours (Å) after each atom.
Element x y z (fractional)
K 0.0000 0.0000 0.0000  6 As 3.44
Pm 0.5000 0.5000 0.5000  6 As 2.96
As 0.2328 0.2328 0.2328  3 Pm 2.96
As 0.7672 0.7672 0.7672  3 Pm 2.96

---

## iv
Density functional theory data (PBE) for an optimized crystal structure of KPmAs2.

Calculated values
Size of the total moment, μB/f.u.: 0.00

abc: 4.9854 4.9854 4.1032
angles: 90.00 90.00 90.00
With the nearest neighbours (Å) after each atom.
Element x y z (fractional)
K 0.0000 0.0000 0.0000  8 As 3.23, 4 Pm 3.53
Pm 0.5000 0.5000 0.0000  8 As 3.23, 4 K 3.53
As 0.0000 0.5000 0.5000  4 K 3.23, 4 Pm 3.23, 4 As 3.53
As 0.5000 0.0000 0.5000  4 K 3.23, 4 Pm 3.23, 4 As 3.53

---

ii ends up most stable, edging out the next structure by 211 meV/atom.

---

## i
Density functional theory data (PBE) for an optimized crystal structure of KPmAs.

Calculated values
Size of the total moment, μB/f.u.: 0.00

abc: 12.6744 12.6744 12.6744
angles: 22.12 22.12 22.12
With the nearest neighbours (Å) after each atom.
Element x y z (fractional)
K 0.1137 0.1137 0.1137  3 As 3.63
K 0.8863 0.8863 0.8863  3 As 3.63
Pm 0.3660 0.3660 0.3660  4 As 2.89-3.12
Pm 0.6340 0.6340 0.6340  4 As 2.89-3.12
As 0.2819 0.2819 0.2819  4 Pm 2.89-3.12
As 0.7181 0.7181 0.7181  4 Pm 2.89-3.12

---

## ii
Density functional theory data (PBE) for an optimized crystal structure of KPmAs.

Calculated values
Size of the total moment, μB/f.u.: 0.00

abc: 7.6827 7.6827 7.6827
angles: 149.44 149.44 43.77
With the nearest neighbours (Å) after each atom.
Element x y z (fractional)
K 0.0000 0.0000 0.0000  1 Pm 3.71, 1 As 4.01, 4 K 4.05
Pm 0.2600 0.2600 0.0000  4 As 2.92
As 0.7189 0.7189 0.0000  4 Pm 2.92

---

i ends up most stable, edging out the next structure by 112 meV/atom.

---

## i
Density functional theory data (PBE) for an optimized crystal structure of K3As2Pt.

Calculated values
Size of the total moment, μB/f.u.: 0.00

abc: 8.5579 8.5579 8.5579
angles: 125.34 83.05 122.87
With the nearest neighbours (Å) after each atom.
Element x y z (fractional)
K 0.2076 0.6478 0.8554  3 As 3.23-3.48, 2 Pt 3.55
K 0.2500 0.2500 0.0000  4 As 3.33
K 0.2924 0.1478 0.4401  3 As 3.23-3.48, 2 Pt 3.55
K 0.7076 0.8522 0.5599  3 As 3.23-3.48, 2 Pt 3.55
K 0.7500 0.7500 0.0000  4 As 3.33
K 0.7924 0.3522 0.1446  3 As 3.23-3.48, 2 Pt 3.55
As 0.0442 0.3262 0.3704  2 Pt 2.52
As 0.4558 0.8262 0.2820  2 Pt 2.52
As 0.5442 0.1738 0.7180  2 Pt 2.52
As 0.9558 0.6738 0.6296  2 Pt 2.52
Pt 0.2500 0.7500 0.5000  4 As 2.52
Pt 0.7500 0.2500 0.5000  4 As 2.52

---

## ii
Density functional theory data (PBE) for an optimized crystal structure of K3As2Pt.

Calculated values
Size of the total moment, μB/f.u.: 0.00

abc: 7.2228 7.2228 7.9898
angles: 90.00 90.00 80.63
With the nearest neighbours (Å) after each atom.
Element x y z (fractional)
K 0.0180 0.6056 0.2500  1 Pt 3.37, 4 As 3.38-3.44, 1 K 3.58
K 0.1853 0.8147 0.7500  1 Pt 3.04
K 0.3944 0.9820 0.2500  1 Pt 3.37, 4 As 3.38-3.44, 1 K 3.58
K 0.6056 0.0180 0.7500  1 Pt 3.37, 4 As 3.38-3.44, 1 K 3.58
K 0.8147 0.1853 0.2500  1 Pt 3.04
K 0.9820 0.3944 0.7500  1 Pt 3.37, 4 As 3.38-3.44, 1 K 3.58
As 0.3631 0.3631 0.0000  2 Pt 2.50
As 0.3631 0.3631 0.5000  2 Pt 2.50
As 0.6369 0.6369 0.0000  2 Pt 2.50
As 0.6369 0.6369 0.5000  2 Pt 2.50
Pt 0.4899 0.5101 0.2500  4 As 2.50
Pt 0.5101 0.4899 0.7500  4 As 2.50

---

i ends up most stable, edging out the next structure by 22 meV/atom.

---

## i
Density functional theory data (PBE) for an optimized crystal structure of K2RbAsPt.

Calculated values
Size of the total moment, μB/f.u.: 0.24

abc: 6.5134 6.5134 4.6889
angles: 90.00 90.00 90.00
With the nearest neighbours (Å) after each atom.
Element x y z (fractional)
K 0.0000 0.5000 0.0000  2 As 3.26
K 0.5000 0.0000 0.0000  2 As 3.26
Rb 0.0000 0.0000 0.5000  8 K 4.01
As 0.5000 0.5000 0.0000  2 Pt 2.34
Pt 0.5000 0.5000 0.5000  2 As 2.34

---

## ii
Density functional theory data (PBE) for an optimized crystal structure of K2RbAsPt.

Calculated values
Size of the total moment, μB/f.u.: 0.32

abc: 6.4181 6.4181 4.7256
angles: 90.00 90.00 90.00
With the nearest neighbours (Å) after each atom.
Element x y z (fractional)
K 0.0000 0.5000 0.0000  2 Pt 3.21
K 0.5000 0.0000 0.0000  2 Pt 3.21
Rb 0.0000 0.0000 0.5000  8 K 3.99
As 0.5000 0.5000 0.5000  2 Pt 2.36
Pt 0.5000 0.5000 0.0000  2 As 2.36

---

ii ends up most stable, edging out the next structure by 34 meV/atom.

---

## i
Density functional theory data (PBE) for an optimized crystal structure of KAs2PtSe.

Calculated values
Size of the total moment, μB/f.u.: 0.00

abc: 5.3115 5.3115 5.3376
angles: 90.00 90.00 90.00
With the nearest neighbours (Å) after each atom.
Element x y z (fractional)
K 0.0000 0.0000 0.0000  4 As 2.66, 2 Se 2.67
As 0.0000 0.5000 0.0000  2 K 2.66
As 0.5000 0.0000 0.0000  2 K 2.66
Pt 0.5000 0.5000 0.5000  4 Se 3.76, 8 As 3.77
Se 0.0000 0.0000 0.5000  2 K 2.67

---

## ii
Density functional theory data (PBE) for an optimized crystal structure of KAs2PtSe.

Calculated values
Size of the total moment, μB/f.u.: 0.00

abc: 4.8842 4.8842 5.6086
angles: 90.00 90.00 90.00
With the nearest neighbours (Å) after each atom.
Element x y z (fractional)
K 0.0000 0.0000 0.0000  4 Se 3.45, 8 As 3.72
As 0.0000 0.5000 0.5000  2 Pt 2.44
As 0.5000 0.0000 0.5000  2 Pt 2.44
Pt 0.5000 0.5000 0.5000  4 As 2.44
Se 0.5000 0.5000 0.0000  2 Pt 2.80

---

ii ends up most stable, edging out the next structure by 1876 meV/atom.